[1]
This record from Alexandria describes an optimized crystal structure of AlW2Au. The functional is GGA-PBEsol.

Cell: 2.8002 2.8002 27.7949 Å, 90.00 90.00 120.00°
Space group R-3m (No. 166, hexagonal axes)
Unique sites:
Al (0.0000, 0.0000, 0.0000)
W (0.0000, 0.0000, 0.2517)
Au (0.0000, 0.0000, 0.5000)

Values from the calculation:
Theoretical density = 15.6 g/cm³
VASP energy = -8.66 eV/atom
Magnetic moment = 0.000 μB/cell


[2]
This record from Alexandria describes an optimized crystal structure of MnReSe. The functional is GGA-PBEsol.

Cell: 5.6791 5.6791 5.6791 Å, 90.00 90.00 90.00°
Space group F-43m (No. 216)
Unique sites:
Mn (0.0000, 0.0000, 0.0000)
Re (0.0000, 0.0000, 0.5000)
Se (0.2500, 0.2500, 0.7500)

Values from the calculation:
E above lowest polymorph = 0.457 eV per atom
Theoretical density = 11.6 g/cm³
Magnetic moment = 9.959 μB/cell
Formation energy from raw total energies = 0.711 eV/atom